No. 1
Here is an optimized crystal structure of MnWCl2 from Alexandria via LeMat-Bulk. Energies are from PBE.

Cell lengths 3.1554, 3.1554, 9.5653 Å; angles 90.00, 90.00, 125.02 degrees
Each line ends with the local moment (μB).
Fractional coordinates of all 4 atoms:
Mn 0.5000 0.5000 0.2500  4.13
W 0.5000 0.5000 0.7500  0.65
Cl 0.0000 0.0000 0.9576  0.03
Cl 0.0000 0.0000 0.5424  0.03

Computed properties:
energy above the most stable polymorph in this dataset	726	meV per atom
raw formation energy	0.451	eV/atom
total DFT energy (no corrections)	-6.003	eV per atom


No. 2
Here is an optimized crystal structure of MnWCl2 from Alexandria via LeMat-Bulk. Energies are from PBE.

Cell lengths 2.9420, 2.9420, 10.8731 Å; angles 90.00, 90.00, 90.00 degrees
Each line ends with the local moment (μB).
Fractional coordinates of all 4 atoms:
Mn 0.5000 0.5000 0.2500  4.30
W 0.5000 0.5000 0.7500  0.92
Cl 0.0000 0.0000 0.1048  0.16
Cl 0.0000 0.0000 0.3952  0.16

Computed properties:
energy above the most stable polymorph in this dataset	1062	meV per atom
raw formation energy	0.787	eV/atom
total DFT energy (no corrections)	-5.667	eV per atom


No. 3
Here is an optimized crystal structure of MnWCl6 from Alexandria via LeMat-Bulk. Energies are from PBE.

Cell lengths 6.2526, 6.2525, 6.6800 Å; angles 62.09, 62.09, 59.99 degrees
Each line ends with the local moment (μB).
Fractional coordinates of all 8 atoms:
Mn 0.5000 0.5000 0.5000  4.41
W 0.0000 0.0000 0.0000  1.60
Cl 0.0916 0.3910 0.7558  0.04
Cl 0.7617 0.0916 0.7557  0.04
Cl 0.6090 0.2383 0.2442  0.04
Cl 0.2383 0.9084 0.2443  0.04
Cl 0.9084 0.6090 0.2442  0.04
Cl 0.3910 0.7617 0.7558  0.04

Computed properties:
raw formation energy	-0.805	eV/atom
total DFT energy (no corrections)	-4.955	eV per atom


No. 4
Here is an optimized crystal structure of MnWCl2 from Alexandria via LeMat-Bulk. Energies are from PBE.

Cell lengths 3.0715, 3.2890, 8.1986 Å; angles 78.56, 90.00, 90.00 degrees
Each line ends with the local moment (μB).
Fractional coordinates of all 4 atoms:
Mn 0.0000 0.5456 0.5309  2.65
W 0.5000 0.9689 0.6873  -0.56
Cl 0.0000 0.8521 0.9236  -0.03
Cl 0.5000 0.1334 0.3583  0.04

Computed properties:
energy above the most stable polymorph in this dataset	157	meV per atom
raw formation energy	-0.118	eV/atom
total DFT energy (no corrections)	-6.572	eV per atom